First-principles (PBE+U) data for CoRhWO6 after structural relaxation, as listed in Alexandria.

a b c (Å): 5.0735 5.0735 9.0856
angles (deg): 90.00 90.00 120.00
Last column: nearest neighbours and their distance in Å.
Element x y z (fractional)
O  0.6517  0.6635  0.6294  1 W 1.96, 1 Rh 2.03, 1 Co 2.10
O  0.9882  0.3365  0.1294  1 W 1.96, 1 Rh 2.03, 1 Co 2.10
Rh  0.6667  0.3333  0.7500  6 O 2.03
Co  0.0000  0.0000  0.5000  6 O 2.10
Rh  0.3333  0.6667  0.2500  6 O 2.03
O  0.3365  0.9882  0.6294  1 W 1.96, 1 Rh 2.03, 1 Co 2.10
O  0.9882  0.6517  0.3706  1 W 1.96, 1 Rh 2.03, 1 Co 2.10
O  0.6635  0.6517  0.1294  1 W 1.96, 1 Rh 2.03, 1 Co 2.10
W  0.3333  0.6667  0.7500  6 O 1.96
O  0.3483  0.0118  0.1294  1 W 1.96, 1 Rh 2.03, 1 Co 2.10
O  0.0118  0.3483  0.6294  1 W 1.96, 1 Rh 2.03, 1 Co 2.10
O  0.3483  0.3365  0.3706  1 W 1.96, 1 Rh 2.03, 1 Co 2.10
Co  0.0000  0.0000  0.0000  6 O 2.10
O  0.6517  0.9882  0.8706  1 W 1.96, 1 Rh 2.03, 1 Co 2.10
O  0.0118  0.6635  0.8706  1 W 1.96, 1 Rh 2.03, 1 Co 2.10
W  0.6667  0.3333  0.2500  6 O 1.96
O  0.6635  0.0118  0.3706  1 W 1.96, 1 Rh 2.03, 1 Co 2.10
O  0.3365  0.3483  0.8706  1 W 1.96, 1 Rh 2.03, 1 Co 2.10

Calculated values
Total energy (eV per atom): -6.764
SG: P-31c